Entry 1:
# PBE Dy2ZnCo3Ge4, relaxed
data_Dy2ZnCo3Ge4
_chemical_formula_sum 'Dy2 Zn1 Co3 Ge4'
_cell_length_a 4.065
_cell_length_b 4.065
_cell_length_c 9.938
_cell_angle_alpha 90.00
_cell_angle_beta 90.00
_cell_angle_gamma 90.00
_symmetry_space_group_name_H-M 'P 1'
_symmetry_Int_Tables_number 1
_symmetry_space_group_name_Hall 'P 1'
loop_
_atom_site_label
_atom_site_fract_x
_atom_site_fract_y
_atom_site_fract_z
_atom_site_occupancy
Dy1 0.000 0.500 0.239 1
Dy2 0.500 0.000 0.761 1
Zn1 0.000 0.000 0.500 1
Co1 0.000 0.500 0.878 1
Co2 0.500 0.000 0.122 1
Co3 0.500 0.500 0.500 1
Ge1 0.000 0.000 0.000 1
Ge2 0.000 0.500 0.646 1
Ge3 0.500 0.000 0.354 1
Ge4 0.500 0.500 0.000 1
# * space-group type: No. 115
# * formation enthalpy at 0 K: -0.526 eV per atom



Entry 2:
# PBE SiSbAsI2, relaxed
data_SiSbAsI2
_chemical_formula_sum 'Si1 Sb1 As1 I2'
_cell_length_a 5.504
_cell_length_b 5.504
_cell_length_c 5.656
_cell_angle_alpha 90.00
_cell_angle_beta 90.00
_cell_angle_gamma 90.00
_symmetry_space_group_name_H-M 'P 1'
_symmetry_Int_Tables_number 1
_symmetry_space_group_name_Hall 'P 1'
loop_
_atom_site_label
_atom_site_fract_x
_atom_site_fract_y
_atom_site_fract_z
_atom_site_occupancy
Si1 0.000 0.000 0.000 1
Sb1 0.500 0.500 0.000 1
As1 0.500 0.500 0.500 1
I1 0.000 0.500 0.500 1
I2 0.500 0.000 0.500 1
# * energy relative to the elements, uncorrected: 822 meV/atom
# * space-group type: No. 123



Entry 3:
# PBE LaAgAu, relaxed
data_LaAgAu
_chemical_formula_sum 'La1 Ag1 Au1'
_cell_length_a 5.045
_cell_length_b 5.045
_cell_length_c 5.045
_cell_angle_alpha 60.00
_cell_angle_beta 60.00
_cell_angle_gamma 60.00
_symmetry_space_group_name_H-M 'P 1'
_symmetry_Int_Tables_number 1
_symmetry_space_group_name_Hall 'P 1'
loop_
_atom_site_label
_atom_site_fract_x
_atom_site_fract_y
_atom_site_fract_z
_atom_site_occupancy
La1 0.000 0.000 0.000 1
Ag1 0.250 0.250 0.250 1
Au1 0.750 0.750 0.750 1
# * space-group type: No. 216
# * formation enthalpy at 0 K: -0.193 eV per atom



Entry 4:
# PBE LaMnC3, relaxed
data_LaMnC3
_chemical_formula_sum 'La1 Mn1 C3'
_cell_length_a 3.884
_cell_length_b 3.884
_cell_length_c 3.884
_cell_angle_alpha 90.00
_cell_angle_beta 90.00
_cell_angle_gamma 90.00
_symmetry_space_group_name_H-M 'P 1'
_symmetry_Int_Tables_number 1
_symmetry_space_group_name_Hall 'P 1'
loop_
_atom_site_label
_atom_site_fract_x
_atom_site_fract_y
_atom_site_fract_z
_atom_site_occupancy
La1 0.000 0.000 0.000 1
Mn1 0.500 0.500 0.500 1
C1 0.000 0.500 0.500 1
C2 0.500 0.000 0.500 1
C3 0.500 0.500 0.000 1
# * space-group type: No. 221
# * formation enthalpy at 0 K: 0.734 eV per atom



Entry 5:
# PBE LaTi2N, relaxed
data_LaTi2N
_chemical_formula_sum 'La1 Ti2 N1'
_cell_length_a 8.585
_cell_length_b 8.585
_cell_length_c 8.585
_cell_angle_alpha 20.70
_cell_angle_beta 20.70
_cell_angle_gamma 20.70
_symmetry_space_group_name_H-M 'P 1'
_symmetry_Int_Tables_number 1
_symmetry_space_group_name_Hall 'P 1'
loop_
_atom_site_label
_atom_site_fract_x
_atom_site_fract_y
_atom_site_fract_z
_atom_site_occupancy
La1 0.000 0.000 0.000 1
Ti1 0.123 0.123 0.123 1
Ti2 0.877 0.877 0.877 1
N1 0.500 0.500 0.500 1
# * energy relative to the elements, uncorrected: -671 meV/atom
# * space-group type: No. 166



Entry 6:
# PBE K2CdRh, relaxed
data_K2CdRh
_chemical_formula_sum 'K2 Cd1 Rh1'
_cell_length_a 5.304
_cell_length_b 5.304
_cell_length_c 5.304
_cell_angle_alpha 120.10
_cell_angle_beta 120.10
_cell_angle_gamma 89.83
_symmetry_space_group_name_H-M 'P 1'
_symmetry_Int_Tables_number 1
_symmetry_space_group_name_Hall 'P 1'
loop_
_atom_site_label
_atom_site_fract_x
_atom_site_fract_y
_atom_site_fract_z
_atom_site_occupancy
K1 0.000 0.000 0.000 1
K2 0.750 0.250 0.500 1
Cd1 0.500 0.500 0.000 1
Rh1 0.250 0.750 0.500 1
# * space-group type: No. 119
# * formation enthalpy at 0 K: 0.379 eV per atom



Entry 7:
# PBE PmSmIrI, relaxed
data_PmSmIrI
_chemical_formula_sum 'Pm1 Sm1 Ir1 I1'
_cell_length_a 8.429
_cell_length_b 8.429
_cell_length_c 8.429
_cell_angle_alpha 28.81
_cell_angle_beta 28.81
_cell_angle_gamma 28.81
_symmetry_space_group_name_H-M 'P 1'
_symmetry_Int_Tables_number 1
_symmetry_space_group_name_Hall 'P 1'
loop_
_atom_site_label
_atom_site_fract_x
_atom_site_fract_y
_atom_site_fract_z
_atom_site_occupancy
Pm1 0.000 0.000 0.000 1
Sm1 0.212 0.212 0.212 1
Ir1 0.606 0.606 0.606 1
I1 0.438 0.438 0.438 1
# * energy relative to the elements, uncorrected: -955 meV/atom
# * space-group type: No. 160



Entry 8:
# PBE Ni4Mo2Pd3, relaxed
data_Ni4Mo2Pd3
_chemical_formula_sum 'Ni8 Mo4 Pd6'
_cell_length_a 7.107
_cell_length_b 7.107
_cell_length_c 5.152
_cell_angle_alpha 92.82
_cell_angle_beta 92.82
_cell_angle_gamma 73.45
_symmetry_space_group_name_H-M 'P 1'
_symmetry_Int_Tables_number 1
_symmetry_space_group_name_Hall 'P 1'
loop_
_atom_site_label
_atom_site_fract_x
_atom_site_fract_y
_atom_site_fract_z
_atom_site_occupancy
Ni1 0.174 0.714 0.557 1
Ni2 0.178 0.492 0.905 1
Ni3 0.286 0.826 0.943 1
Ni4 0.492 0.178 0.405 1
Ni5 0.508 0.822 0.595 1
Ni6 0.714 0.174 0.057 1
Ni7 0.822 0.508 0.095 1
Ni8 0.826 0.286 0.443 1
Mo1 0.141 0.405 0.367 1
Mo2 0.405 0.141 0.867 1
Mo3 0.595 0.859 0.133 1
Mo4 0.859 0.595 0.633 1
Pd1 0.031 0.193 0.866 1
Pd2 0.193 0.031 0.366 1
Pd3 0.465 0.535 0.250 1
Pd4 0.535 0.465 0.750 1
Pd5 0.807 0.969 0.634 1
Pd6 0.969 0.807 0.134 1
# * space-group type: No. 15
# * formation enthalpy at 0 K: 0.102 eV per atom



Entry 9:
# PBE Ba2SrCa, relaxed
data_Ba2SrCa
_chemical_formula_sum 'Ba2 Sr1 Ca1'
_cell_length_a 4.187
_cell_length_b 4.187
_cell_length_c 12.939
_cell_angle_alpha 90.00
_cell_angle_beta 90.00
_cell_angle_gamma 103.09
_symmetry_space_group_name_H-M 'P 1'
_symmetry_Int_Tables_number 1
_symmetry_space_group_name_Hall 'P 1'
loop_
_atom_site_label
_atom_site_fract_x
_atom_site_fract_y
_atom_site_fract_z
_atom_site_occupancy
Ba1 0.000 0.000 0.000 1
Ba2 0.500 0.500 0.271 1
Sr1 0.000 0.000 0.530 1
Ca1 0.500 0.500 0.760 1
# * space-group type: No. 35
# * formation enthalpy at 0 K: 0.027 eV per atom



Entry 10:
# PBE ThZr2WC4, relaxed
data_ThZr2WC4
_chemical_formula_sum 'Th2 Zr4 W2 C8'
_cell_length_a 6.199
_cell_length_b 6.199
_cell_length_c 11.739
_cell_angle_alpha 90.00
_cell_angle_beta 90.00
_cell_angle_gamma 148.25
_symmetry_space_group_name_H-M 'P 1'
_symmetry_Int_Tables_number 1
_symmetry_space_group_name_Hall 'P 1'
loop_
_atom_site_label
_atom_site_fract_x
_atom_site_fract_y
_atom_site_fract_z
_atom_site_occupancy
Th1 0.104 0.896 0.750 1
Th2 0.896 0.104 0.250 1
Zr1 0.370 0.630 0.537 1
Zr2 0.370 0.630 0.963 1
Zr3 0.630 0.370 0.037 1
Zr4 0.630 0.370 0.463 1
W1 0.159 0.841 0.250 1
W2 0.841 0.159 0.750 1
C1 0.000 0.000 0.000 1
C2 0.000 0.000 0.500 1
C3 0.262 0.738 0.119 1
C4 0.262 0.738 0.381 1
C5 0.440 0.560 0.750 1
C6 0.560 0.440 0.250 1
C7 0.738 0.262 0.619 1
C8 0.738 0.262 0.881 1
# * space-group type: No. 63
# * formation enthalpy at 0 K: -0.344 eV per atom



Entry 11:
# PBE Pm6HgPd5, relaxed
data_Pm6HgPd5
_chemical_formula_sum 'Pm6 Hg1 Pd5'
_cell_length_a 8.894
_cell_length_b 8.894
_cell_length_c 5.140
_cell_angle_alpha 106.75
_cell_angle_beta 106.75
_cell_angle_gamma 48.33
_symmetry_space_group_name_H-M 'P 1'
_symmetry_Int_Tables_number 1
_symmetry_space_group_name_Hall 'P 1'
loop_
_atom_site_label
_atom_site_fract_x
_atom_site_fract_y
_atom_site_fract_z
_atom_site_occupancy
Pm1 0.074 0.584 0.328 1
Pm2 0.239 0.761 0.000 1
Pm3 0.416 0.926 0.672 1
Pm4 0.584 0.074 0.328 1
Pm5 0.761 0.239 0.000 1
Pm6 0.926 0.416 0.672 1
Hg1 0.500 0.500 0.500 1
Pd1 0.000 0.000 0.500 1
Pd2 0.167 0.167 0.169 1
Pd3 0.341 0.341 0.840 1
Pd4 0.659 0.659 0.160 1
Pd5 0.833 0.833 0.831 1
# * space-group type: No. 12
# * formation enthalpy at 0 K: -0.707 eV per atom



Entry 12:
# PBE MgBeS2, relaxed
data_MgBeS2
_chemical_formula_sum 'Mg1 Be1 S2'
_cell_length_a 3.636
_cell_length_b 3.636
_cell_length_c 5.955
_cell_angle_alpha 90.32
_cell_angle_beta 90.32
_cell_angle_gamma 59.76
_symmetry_space_group_name_H-M 'P 1'
_symmetry_Int_Tables_number 1
_symmetry_space_group_name_Hall 'P 1'
loop_
_atom_site_label
_atom_site_fract_x
_atom_site_fract_y
_atom_site_fract_z
_atom_site_occupancy
Mg1 0.000 0.000 0.000 1
Be1 0.328 0.328 0.464 1
S1 0.331 0.331 0.803 1
S2 0.660 0.660 0.330 1
# * energy relative to the elements, uncorrected: -1084 meV/atom
# * space-group type: No. 8